Record 1
The following is a DFT calculation (GGA-PBE) of an optimized crystal structure of CaNd2ZnN.

Cell lengths 5.021, 5.021, 4.811 Å; angles 90.00, 90.00, 90.00 degrees
Fractional positions:
1 Ca 0.000 0.000 0.000
2 Nd 0.000 0.500 0.500
3 Nd 0.500 0.000 0.500
4 Zn 0.500 0.500 0.000
5 N 0.000 0.000 0.500

Values from the calculation:
V	121.3	Å³/cell
density of states at the Fermi level	4.9	states/eV per cell
theoretical density	5586	kg/m³
formation energy (no corrections)	-0.582	eV per atom

Record 2
The following is a DFT calculation (GGA-PBE) of an optimized crystal structure of CaNdZnN2.

Cell lengths 5.222, 5.542, 6.677 Å; angles 90.00, 90.00, 90.00 degrees
Fractional positions:
1 Ca 0.000 0.000 0.250
2 Ca 0.000 0.000 0.750
3 Nd 0.500 0.500 0.250
4 Nd 0.500 0.500 0.750
5 Zn 0.500 0.000 0.000
6 Zn 0.500 0.000 0.500
7 N 0.265 0.254 0.000
8 N 0.265 0.746 0.500
9 N 0.735 0.254 0.500
10 N 0.735 0.746 0.000

Values from the calculation:
V	193.2	Å³/cell
density of states at the Fermi level	5.2	states/eV per cell
theoretical density	4773	kg/m³
formation energy (no corrections)	-0.530	eV per atom

Record 3
The following is a DFT calculation (GGA-PBE) of an optimized crystal structure of Ca4Ni2N.

Cell lengths 7.707, 7.707, 7.707 Å; angles 143.56, 143.56, 52.49 degrees
Fractional positions:
1 Ca 0.000 0.500 0.500
2 Ca 0.174 0.174 0.000
3 Ca 0.500 0.000 0.500
4 Ca 0.826 0.826 0.000
5 Ni 0.381 0.381 0.000
6 Ni 0.619 0.619 0.000
7 N 0.000 0.000 0.000

Values from the calculation:
V	160.5	Å³/cell
density of states at the Fermi level	3.3	states/eV per cell
theoretical density	3017	kg/m³
formation energy (no corrections)	-0.149	eV per atom

Record 4
The following is a DFT calculation (GGA-PBE) of an optimized crystal structure of CaNi2N4.

Cell lengths 3.659, 3.659, 6.785 Å; angles 104.95, 104.95, 68.97 degrees
Fractional positions:
1 Ca 0.000 0.000 0.000
2 Ni 0.492 0.492 0.691
3 Ni 0.508 0.508 0.309
4 N 0.052 0.364 0.733
5 N 0.364 0.052 0.733
6 N 0.636 0.948 0.267
7 N 0.948 0.636 0.267

Values from the calculation:
V	80.5	Å³/cell
density of states at the Fermi level	2.0	states/eV per cell
theoretical density	4401	kg/m³
formation energy (no corrections)	-0.041	eV per atom

Record 5
The following is a DFT calculation (GGA-PBE) of an optimized crystal structure of CaNi2N2.

Cell lengths 5.524, 5.524, 5.524 Å; angles 143.88, 143.88, 52.01 degrees
Fractional positions:
1 Ca 0.000 0.000 0.000
2 Ni 0.250 0.750 0.500
3 Ni 0.750 0.250 0.500
4 N 0.352 0.352 0.000
5 N 0.648 0.648 0.000

Values from the calculation:
V	58.3	Å³/cell
density of states at the Fermi level	6.5	states/eV per cell
theoretical density	5287	kg/m³
formation energy (no corrections)	0.004	eV per atom

Record 6
The following is a DFT calculation (GGA-PBE) of an optimized crystal structure of Ca3Ni3N5.

Cell lengths 5.604, 6.790, 8.288 Å; angles 108.07, 106.47, 94.60 degrees
Fractional positions:
1 Ca 0.154 0.175 0.197
2 Ca 0.168 0.373 0.877
3 Ca 0.306 0.907 0.605
4 Ca 0.694 0.093 0.395
5 Ca 0.832 0.627 0.123
6 Ca 0.846 0.825 0.803
7 Ni 0.196 0.444 0.562
8 Ni 0.389 0.628 0.288
9 Ni 0.406 0.821 0.972
10 Ni 0.594 0.179 0.028
11 Ni 0.611 0.372 0.712
12 Ni 0.804 0.556 0.438
13 N 0.120 0.552 0.374
14 N 0.241 0.733 0.106
15 N 0.250 0.033 0.899
16 N 0.327 0.193 0.506
17 N 0.451 0.603 0.786
18 N 0.549 0.397 0.214
19 N 0.673 0.807 0.494
20 N 0.750 0.967 0.101
21 N 0.759 0.267 0.894
22 N 0.880 0.448 0.626

Values from the calculation:
V	282.6	Å³/cell
density of states at the Fermi level	17.3	states/eV per cell
theoretical density	4306	kg/m³
formation energy (no corrections)	-0.256	eV per atom

Record 7
The following is a DFT calculation (GGA-PBE) of an optimized crystal structure of Ca3Ni2N4.

Cell lengths 6.676, 6.676, 5.410 Å; angles 91.67, 91.67, 77.10 degrees
Fractional positions:
1 Ca 0.096 0.904 0.750
2 Ca 0.245 0.511 0.451
3 Ca 0.489 0.755 0.049
4 Ca 0.511 0.245 0.951
5 Ca 0.755 0.489 0.549
6 Ca 0.904 0.096 0.250
7 Ni 0.077 0.335 0.912
8 Ni 0.335 0.077 0.412
9 Ni 0.665 0.923 0.588
10 Ni 0.923 0.665 0.088
11 N 0.093 0.235 0.581
12 N 0.208 0.559 0.979
13 N 0.235 0.093 0.081
14 N 0.441 0.792 0.521
15 N 0.559 0.208 0.479
16 N 0.765 0.907 0.919
17 N 0.792 0.441 0.021
18 N 0.907 0.765 0.419

Values from the calculation:
V	234.9	Å³/cell
density of states at the Fermi level	13.8	states/eV per cell
theoretical density	4152	kg/m³
formation energy (no corrections)	-0.357	eV per atom

Record 8
The following is a DFT calculation (GGA-PBE) of an optimized crystal structure of Ca5NiN4.

Cell lengths 7.071, 8.880, 6.250 Å; angles 90.00, 90.00, 90.00 degrees
Fractional positions:
1 Ca 0.014 0.050 0.233
2 Ca 0.014 0.450 0.233
3 Ca 0.250 0.250 0.752
4 Ca 0.486 0.050 0.233
5 Ca 0.486 0.450 0.233
6 Ca 0.514 0.550 0.767
7 Ca 0.514 0.950 0.767
8 Ca 0.750 0.750 0.248
9 Ca 0.986 0.550 0.767
10 Ca 0.986 0.950 0.767
11 Ni 0.250 0.750 0.468
12 Ni 0.750 0.250 0.532
13 N 0.004 0.750 0.498
14 N 0.250 0.037 0.965
15 N 0.250 0.463 0.965
16 N 0.496 0.750 0.498
17 N 0.504 0.250 0.502
18 N 0.750 0.537 0.035
19 N 0.750 0.963 0.035
20 N 0.996 0.250 0.502

Values from the calculation:
V	392.4	Å³/cell
theoretical density	2667	kg/m³
formation energy (no corrections)	-0.554	eV per atom

Record 9
The following is a DFT calculation (GGA-PBE) of an optimized crystal structure of CaNi3N.

Cell lengths 3.945, 3.945, 3.945 Å; angles 90.00, 90.00, 90.00 degrees
Fractional positions:
1 Ca 0.000 0.000 0.000
2 Ni 0.000 0.500 0.500
3 Ni 0.500 0.000 0.500
4 Ni 0.500 0.500 0.000
5 N 0.500 0.500 0.500

Values from the calculation:
V	61.4	Å³/cell
density of states at the Fermi level	5.4	states/eV per cell
theoretical density	6224	kg/m³
distance to the lowest polymorph of the same formula	0.0000	eV per atom
formation energy (no corrections)	-0.073	eV per atom

Record 10
The following is a DFT calculation (GGA-PBE) of an optimized crystal structure of CaNi3N.

Cell lengths 4.621, 4.621, 4.621 Å; angles 90.00, 90.00, 90.00 degrees
Fractional positions:
1 Ca 0.000 0.000 0.000
2 Ni 0.000 0.000 0.500
3 Ni 0.000 0.500 0.000
4 Ni 0.500 0.000 0.000
5 N 0.500 0.500 0.500

Values from the calculation:
V	98.7	Å³/cell
density of states at the Fermi level	7.5	states/eV per cell
theoretical density	3874	kg/m³
distance to the lowest polymorph of the same formula	2.6757	eV per atom
formation energy (no corrections)	2.603	eV per atom

Record 11
The following is a DFT calculation (GGA-PBE) of an optimized crystal structure of Ca8NiN2.

Cell lengths 7.492, 7.492, 6.515 Å; angles 103.95, 103.95, 59.36 degrees
Fractional positions:
1 Ca 0.116 0.603 0.218
2 Ca 0.135 0.135 0.230
3 Ca 0.365 0.365 0.768
4 Ca 0.397 0.884 0.782
5 Ca 0.603 0.116 0.218
6 Ca 0.635 0.635 0.232
7 Ca 0.865 0.865 0.770
8 Ca 0.884 0.397 0.782
9 Ni 0.500 0.500 0.500
10 N 0.247 0.247 0.000
11 N 0.753 0.753 0.000

Values from the calculation:
V	302.3	Å³/cell
density of states at the Fermi level	4.6	states/eV per cell
theoretical density	2238	kg/m³
formation energy (no corrections)	-0.353	eV per atom

Record 12
The following is a DFT calculation (GGA-PBE) of an optimized crystal structure of CaNi2N2.

Cell lengths 6.526, 6.526, 3.438 Å; angles 90.00, 90.00, 90.00 degrees
Fractional positions:
1 Ca 0.000 0.000 0.000
2 Ca 0.500 0.500 0.000
3 Ni 0.129 0.371 0.500
4 Ni 0.371 0.871 0.500
5 Ni 0.629 0.129 0.500
6 Ni 0.871 0.629 0.500
7 N 0.147 0.353 0.000
8 N 0.353 0.853 0.000
9 N 0.647 0.147 0.000
10 N 0.853 0.647 0.000

Values from the calculation:
V	146.4	Å³/cell
density of states at the Fermi level	4.2	states/eV per cell
theoretical density	4207	kg/m³
formation energy (no corrections)	-0.021	eV per atom

- Number 9 is which compound?
  CaNi3N

- Which value of theoretical density does entry 7 give?
  4152 kg/m³

- Look up the V of the third one.
  160.5 Å³/cell

- The highest theoretical density belongs to which entry?
  number 9